First-principles (GGA-PBE) data for a relaxed Ho6Ga2Hg crystal, as listed in Alexandria.

Results
The density of states at the Fermi level is 11.68 states/eV per cell. The value obtained for the size of the total moment is 0.00 μB/cell. Its uncorrected energy is -3.96 eV/atom. The formation enthalpy at 0 K is -0.199 eV/atom.

a b c (Å): 4.9565 7.0571 8.6435
angles (deg): 114.09 106.65 90.00
Last column: nearest neighbours and their distance in Å.
Element x y z (fractional)
Ga: 0.3331 0.3328 0.6655  8 Ho 3.03-3.05
Ga: 0.6669 0.6672 0.3345  8 Ho 3.03-3.05
Ho: 0.8314 0.0824 0.6624  3 Ga 3.03-3.04, 1 Hg 3.09
Ho: 0.5000 0.2546 0.0000  2 Ga 3.05, 2 Hg 3.06
Ho: 0.1686 0.4200 0.3376  3 Ga 3.03-3.04, 1 Hg 3.09
Ho: 0.5000 0.7454 0.0000  2 Ga 3.05, 2 Hg 3.06
Ho: 0.8314 0.5800 0.6624  3 Ga 3.03-3.04, 1 Hg 3.09
Ho: 0.1686 0.9176 0.3376  3 Ga 3.03-3.04, 1 Hg 3.09
Hg: 0.0000 0.0000 0.0000  8 Ho 3.06-3.09



First-principles (GGA-PBE) data for a relaxed Ho2GaHg crystal, as listed in Alexandria.

Results
The density of states at the Fermi level is 2.76 states/eV per cell. The value obtained for the size of the total moment is 0.00 μB/cell. Its uncorrected energy is -3.52 eV/atom. The formation enthalpy at 0 K is -0.401 eV/atom.

a b c (Å): 3.6583 3.6583 9.2202
angles (deg): 78.56 78.56 60.00
Last column: nearest neighbours and their distance in Å.
Element x y z (fractional)
Hg: 0.0000 0.0000 0.0000  6 Ho 3.17
Ga: 0.5000 0.5000 0.5000  6 Ho 3.00
Ho: 0.7543 0.7543 0.7372  3 Ga 3.00, 3 Hg 3.17
Ho: 0.2457 0.2457 0.2628  3 Ga 3.00, 3 Hg 3.17



First-principles (GGA-PBE) data for a relaxed Ho4InGaHg2 crystal, as listed in Alexandria.

Results
The density of states at the Fermi level is 8.13 states/eV per cell. The value obtained for the size of the total moment is 0.00 μB/cell. Its uncorrected energy is -3.57 eV/atom. The formation enthalpy at 0 K is -0.487 eV/atom.

a b c (Å): 5.2159 5.2159 9.0185
angles (deg): 73.19 73.19 60.00
Last column: nearest neighbours and their distance in Å.
Element x y z (fractional)
In: 0.0000 0.0000 0.0000  8 Ho 3.24-3.29
Hg: 0.2537 0.2537 0.2390  8 Ho 3.13-3.27
Hg: 0.7463 0.7463 0.7610  8 Ho 3.13-3.27
Ho: 0.3797 0.3797 0.8608  1 Ga 3.07, 4 Hg 3.13-3.21, 3 In 3.24
Ho: 0.1292 0.1292 0.6125  3 Ga 3.16, 4 Hg 3.18-3.27, 1 In 3.29
Ho: 0.6203 0.6203 0.1392  1 Ga 3.07, 4 Hg 3.13-3.21, 3 In 3.24
Ho: 0.8708 0.8708 0.3875  3 Ga 3.16, 4 Hg 3.18-3.27, 1 In 3.29
Ga: 0.5000 0.5000 0.5000  8 Ho 3.07-3.16



First-principles (GGA-PBE) data for a relaxed Ho4In2GaHg crystal, as listed in Alexandria.

Results
The density of states at the Fermi level is 6.30 states/eV per cell. The value obtained for the size of the total moment is 0.00 μB/cell. Its uncorrected energy is -3.86 eV/atom. The formation enthalpy at 0 K is -0.473 eV/atom.

a b c (Å): 5.2355 5.2355 9.0227
angles (deg): 73.13 73.13 60.00
Last column: nearest neighbours and their distance in Å.
Element x y z (fractional)
Ho: 0.1273 0.1273 0.6182  3 Ga 3.19, 4 In 3.19-3.24, 1 Hg 3.25
Ho: 0.8727 0.8727 0.3818  3 Ga 3.19, 4 In 3.19-3.24, 1 Hg 3.25
Ho: 0.3779 0.3779 0.8664  1 Ga 3.11, 4 In 3.16-3.20, 3 Hg 3.23
Ho: 0.6221 0.6221 0.1336  1 Ga 3.11, 4 In 3.16-3.20, 3 Hg 3.23
In: 0.2523 0.2523 0.2431  8 Ho 3.16-3.24
In: 0.7477 0.7477 0.7569  8 Ho 3.16-3.24
Ga: 0.5000 0.5000 0.5000  8 Ho 3.11-3.19
Hg: 0.0000 0.0000 0.0000  8 Ho 3.23-3.25



Which of these has the lowest uncorrected energy? Ho6Ga2Hg



Which formula does entry 3 have? Ho4InGaHg2



Which of these has the lowest formation enthalpy at 0 K? Ho4InGaHg2



Number 2 is which compound? Ho2GaHg